(1)
A geometry-optimized TlFeNi2N structure, computed with GGA-PBE.

a = 3.9519 Å, b = 3.9519 Å, c = 3.8689 Å
α = 90.00°, β = 90.00°, γ = 90.00°
Space group P4/mmm (No. 123)
Asymmetric unit:
Tl (0.0000, 0.0000, 0.0000) [1 per cell]
Fe (0.5000, 0.5000, 0.0000) [1 per cell]
Ni (0.0000, 0.5000, 0.5000) [2 per cell]
N (0.5000, 0.5000, 0.5000) [1 per cell]

Properties
E_tot ... -30.2 eV/cell
Formation energy from raw total energies ... 0.53 eV/f.u.

(2)
A geometry-optimized TaBe2IrN structure, computed with GGA-PBE.

a = 4.3514 Å, b = 4.3514 Å, c = 3.6661 Å
α = 90.00°, β = 90.00°, γ = 90.00°
Space group P4/mmm (No. 123)
Asymmetric unit:
Ta (0.0000, 0.0000, 0.0000) [1 per cell]
Be (0.0000, 0.5000, 0.5000) [2 per cell]
Ir (0.5000, 0.5000, 0.5000) [1 per cell]
N (0.5000, 0.5000, 0.0000) [1 per cell]

Properties
E_tot ... -31.5 eV/cell
Formation energy from raw total energies ... 5.03 eV/f.u.

formation energy from raw total energies of number 2 (TaBe2IrN)? 5.03 eV/f.u.

Which formula does entry 2 have? TaBe2IrN

Repeat the first record exactly.
A geometry-optimized TlFeNi2N structure, computed with GGA-PBE.

a = 3.9519 Å, b = 3.9519 Å, c = 3.8689 Å
α = 90.00°, β = 90.00°, γ = 90.00°
Space group P4/mmm (No. 123)
Asymmetric unit:
Tl (0.0000, 0.0000, 0.0000) [1 per cell]
Fe (0.5000, 0.5000, 0.0000) [1 per cell]
Ni (0.0000, 0.5000, 0.5000) [2 per cell]
N (0.5000, 0.5000, 0.5000) [1 per cell]

Properties
E_tot ... -30.2 eV/cell
Formation energy from raw total energies ... 0.53 eV/f.u.